No. 1
Entry from Alexandria: a crystal of In2ReRh relaxed with PBEsol (meta-GGA SCAN).

Computed properties:
Energy of formation (eV/atom): 0.239
Fermi-level density of states (states/eV/f.u.): 2.147
ΔE to the lowest computed polymorph (kJ/mol of formula units): 43
Calculated total energy (eV/atom): -42.67

Unit cell a=2.9358 b=2.9358 c=7.7123 alpha=90.00 beta=90.00 gamma=90.00
Last column: nearest neighbours and their distance in Å.
Space group P4/mmm (No. 123)
Unique sites:
In1 0.0000 0.0000 0.2362 (multiplicity 2)  4 Rh 2.76, 4 Re 2.91, 4 In 2.94
Re1 0.5000 0.5000 0.5000 (multiplicity 1)  8 In 2.91, 4 Re 2.94
Rh1 0.5000 0.5000 0.0000 (multiplicity 1)  8 In 2.76, 4 Rh 2.94

***

No. 2
Entry from Alexandria: a crystal of ScFeO2 relaxed with PBEsol (meta-GGA SCAN).

Computed properties:
Fermi-level density of states (states/eV/f.u.): 0.901
Calculated total energy (eV/atom): -13.79

Unit cell a=3.1812 b=3.1812 c=17.1087 alpha=90.00 beta=90.00 gamma=120.00
Last column: nearest neighbours and their distance in Å.
Space group R-3m (No. 166, hexagonal axes)
Unique sites:
Sc1 0.0000 0.0000 0.0000 (multiplicity 3)  6 O 2.10
Fe1 0.0000 0.0000 0.5000 (multiplicity 3)  2 O 1.83
O1 0.0000 0.0000 0.3928 (multiplicity 6)  1 Fe 1.83

***

No. 3
Entry from Alexandria: a crystal of AlRuSe relaxed with PBEsol (meta-GGA SCAN).

Computed properties:
Fermi-level density of states (states/eV/f.u.): 2.180
ΔE to the lowest computed polymorph (kJ/mol of formula units): 0
Calculated total energy (eV/atom): -20.59

Unit cell a=5.8842 b=5.8842 c=5.8842 alpha=90.00 beta=90.00 gamma=90.00
Last column: nearest neighbours and their distance in Å.
Space group F-43m (No. 216)
Unique sites:
Al1 0.0000 0.0000 0.0000 (multiplicity 4)  4 Se 2.55, 4 Ru 2.55
Ru1 0.2500 0.2500 0.2500 (multiplicity 4)  4 Al 2.55
Se1 0.2500 0.2500 0.7500 (multiplicity 4)  4 Al 2.55

***

No. 4
Entry from Alexandria: a crystal of Mg2Ta2MnO8 relaxed with PBEsol (meta-GGA SCAN).

Computed properties:
Fermi-level density of states (states/eV/f.u.): 0.000
Calculated total energy (eV/atom): -19.18

Unit cell a=19.0411 b=5.9642 c=5.1649 alpha=90.00 beta=90.46 gamma=90.00
Last column: nearest neighbours and their distance in Å.
Space group C2/c (No. 15)
Unique sites:
Mg1 0.2276 0.1428 0.2452 (multiplicity 8)  4 O 1.98-2.10
Ta1 0.1168 0.3376 0.7428 (multiplicity 8)  5 O 1.84-2.04
Mn1 0.0000 0.1531 0.2500 (multiplicity 4)  6 O 2.08-2.19
O1 0.0595 0.1266 0.5881 (multiplicity 8)  1 Ta 1.84
O2 0.0714 0.3895 0.0766 (multiplicity 8)  2 Ta 1.96-2.03, 1 Mn 2.16
O3 0.1866 0.3987 0.4529 (multiplicity 8)  2 Mg 2.03-2.26, 1 Ta 2.04
O4 0.1916 0.1459 0.8793 (multiplicity 8)  1 Ta 1.95, 3 Mg 1.98-2.10

***

No. 5
Entry from Alexandria: a crystal of BeInCo2 relaxed with PBEsol (meta-GGA SCAN).

Computed properties:
Energy of formation (eV/atom): 0.261
Fermi-level density of states (states/eV/f.u.): 2.552
Calculated total energy (eV/atom): -17.83

Unit cell a=2.6980 b=3.8292 c=4.9576 alpha=90.00 beta=105.73 gamma=90.00
Last column: nearest neighbours and their distance in Å.
Space group Pm (No. 6)
Unique sites:
Be1 0.0000 0.0000 0.0000 (multiplicity 1)  4 Co 2.12-2.30
In1 0.3623 0.5000 0.7174 (multiplicity 1)  3 Co 2.50-2.64, 2 In 2.70, 4 Be 2.70-2.71
Co1 0.1017 0.5000 0.1930 (multiplicity 1)  2 Be 2.12
Co2 0.6969 0.0000 0.3886 (multiplicity 1)  2 Be 2.29-2.30, 4 Co 2.52

***

No. 6
Entry from Alexandria: a crystal of RbCrCo2Se relaxed with PBEsol (meta-GGA SCAN).

Computed properties:
Fermi-level density of states (states/eV/f.u.): 0.488
Calculated total energy (eV/atom): -17.90

Unit cell a=4.4406 b=4.4406 c=6.0497 alpha=90.00 beta=90.00 gamma=90.00
Last column: nearest neighbours and their distance in Å.
Space group P4/mmm (No. 123)
Unique sites:
Rb1 0.0000 0.0000 0.0000 (multiplicity 1)  2 Se 3.02, 4 Cr 3.14
Cr1 0.5000 0.5000 0.0000 (multiplicity 1)  4 Rb 3.14
Co1 0.0000 0.5000 0.5000 (multiplicity 2)  2 Se 2.22
Se1 0.0000 0.0000 0.5000 (multiplicity 1)  4 Co 2.22

***

No. 7
Entry from Alexandria: a crystal of Rb2InAu relaxed with PBEsol (meta-GGA SCAN).

Computed properties:
Energy of formation (eV/atom): -0.222
Fermi-level density of states (states/eV/f.u.): 2.672
Calculated total energy (eV/atom): -36.23

Unit cell a=12.5008 b=12.5008 c=5.1912 alpha=90.00 beta=90.00 gamma=90.00
Last column: nearest neighbours and their distance in Å.
Space group I-42d (No. 122)
Unique sites:
Rb1 0.0844 0.2500 0.1250 (multiplicity 8)  2 Au 3.36
In1 0.0000 0.0000 0.5000 (multiplicity 4)  2 Au 2.60
Au1 0.0000 0.0000 0.0000 (multiplicity 4)  2 In 2.60

***

No. 8
Entry from Alexandria: a crystal of LiMg2Zn2 relaxed with PBEsol (meta-GGA SCAN).

Computed properties:
Energy of formation (eV/atom): 0.037
Fermi-level density of states (states/eV/f.u.): 1.728
ΔE to the lowest computed polymorph (kJ/mol of formula units): 84
Calculated total energy (eV/atom): -7.84

Unit cell a=4.1854 b=4.1854 c=11.8285 alpha=90.00 beta=90.00 gamma=90.00
Last column: nearest neighbours and their distance in Å.
Space group I4/mmm (No. 139)
Unique sites:
Li1 0.0000 0.0000 0.0000 (multiplicity 2)  8 Zn 3.19
Mg1 0.0000 0.5000 0.2500 (multiplicity 4)  4 Zn 2.75, 4 Mg 2.96
Zn1 0.0000 0.0000 0.4003 (multiplicity 4)  1 Zn 2.36